1.
This record from the Alexandria database describes MgTcSn4 after structural relaxation. The functional is GGA-PBE.

abc: 7.4305 7.4305 7.4305
angles: 124.43 124.43 82.49
Element x y z (fractional)
Mg1 0.0000 0.0000 0.0000
Mg2 0.5000 0.5000 0.0000
Tc1 0.2500 0.2500 0.0000
Tc2 0.7500 0.7500 0.0000
Sn1 0.0134 0.5134 0.8105
Sn2 0.2029 0.0134 0.5000
Sn3 0.2971 0.7971 0.8105
Sn4 0.4866 0.2971 0.5000
Sn5 0.5134 0.7029 0.5000
Sn6 0.7029 0.2029 0.1895
Sn7 0.7971 0.9866 0.5000
Sn8 0.9866 0.4866 0.1895

## Properties
DFT formation energy: -143.9 meV/atom
M_tot: 0.000 μB per atom

=====

2.
This record from the Alexandria database describes Mg3TcSn after structural relaxation. The functional is GGA-PBE.

abc: 5.0260 5.0260 5.0260
angles: 90.00 90.00 90.00
Element x y z (fractional)
Mg1 0.0000 0.0000 0.5000
Mg2 0.0000 0.5000 0.0000
Mg3 0.5000 0.0000 0.0000
Tc1 0.0000 0.0000 0.0000
Sn1 0.5000 0.5000 0.5000

## Properties
DFT formation energy: 664.4 meV/atom
excess energy over the best structure of this formula in the dataset: 0.00 eV per formula unit
M_tot: 0.000 μB per atom

=====

3.
This record from the Alexandria database describes MgUTcSn after structural relaxation. The functional is GGA-PBE.

abc: 4.8178 4.8178 4.8178
angles: 60.00 60.00 60.00
Element x y z (fractional)
Mg1 0.0000 0.0000 0.0000
U1 0.2500 0.2500 0.2500
Tc1 0.5000 0.5000 0.5000
Sn1 0.7500 0.7500 0.7500

## Properties
DFT formation energy: 198.9 meV/atom
M_tot: 0.367 μB per atom

=====

4.
This record from the Alexandria database describes Mg3Sn5Te12 after structural relaxation. The functional is GGA-PBE.

abc: 15.4444 15.4444 15.4444
angles: 109.47 109.47 109.47
Element x y z (fractional)
Mg1 0.1250 0.2500 0.3750
Mg2 0.1250 0.3750 0.7500
Mg3 0.2500 0.3750 0.1250
Mg4 0.2500 0.8750 0.6250
Mg5 0.3750 0.1250 0.2500
Mg6 0.3750 0.7500 0.1250
Mg7 0.6250 0.2500 0.8750
Mg8 0.6250 0.8750 0.7500
Mg9 0.7500 0.1250 0.3750
Mg10 0.7500 0.6250 0.8750
Mg11 0.8750 0.6250 0.2500
Mg12 0.8750 0.7500 0.6250
Sn1 0.0000 0.0000 0.0000
Sn2 0.0000 0.0000 0.5000
Sn3 0.0000 0.5000 0.0000
Sn4 0.0000 0.5000 0.5000
Sn5 0.1250 0.7500 0.8750
Sn6 0.1250 0.8750 0.2500
Sn7 0.2500 0.1250 0.8750
Sn8 0.2500 0.6250 0.3750
Sn9 0.3750 0.2500 0.6250
Sn10 0.3750 0.6250 0.7500
Sn11 0.5000 0.0000 0.0000
Sn12 0.5000 0.0000 0.5000
Sn13 0.5000 0.5000 0.0000
Sn14 0.5000 0.5000 0.5000
Sn15 0.6250 0.3750 0.2500
Sn16 0.6250 0.7500 0.3750
Sn17 0.7500 0.3750 0.6250
Sn18 0.7500 0.8750 0.1250
Sn19 0.8750 0.1250 0.7500
Sn20 0.8750 0.2500 0.1250
Te1 0.0501 0.2238 0.1365
Te2 0.0501 0.3262 0.9136
Te3 0.0864 0.6365 0.4127
Te4 0.0864 0.9499 0.6738
Te5 0.0873 0.7238 0.6738
Te6 0.0873 0.8635 0.4136
Te7 0.1365 0.0501 0.2238
Te8 0.1365 0.5864 0.9127
Te9 0.1738 0.2238 0.5873
Te10 0.1738 0.4499 0.5864
Te11 0.2238 0.1365 0.0501
Te12 0.2238 0.5873 0.1738
Te13 0.2762 0.3262 0.9127
Te14 0.2762 0.4499 0.3635
Te15 0.3262 0.9127 0.2762
Te16 0.3262 0.9136 0.0501
Te17 0.3635 0.2762 0.4499
Te18 0.3635 0.5873 0.9136
Te19 0.4127 0.0864 0.6365
Te20 0.4127 0.8262 0.7762
Te21 0.4136 0.0873 0.8635
Te22 0.4136 0.8262 0.5501
Te23 0.4499 0.3635 0.2762
Te24 0.4499 0.5864 0.1738
Te25 0.5501 0.4136 0.8262
Te26 0.5501 0.6365 0.7238
Te27 0.5864 0.1738 0.4499
Te28 0.5864 0.9127 0.1365
Te29 0.5873 0.1738 0.2238
Te30 0.5873 0.9136 0.3635
Te31 0.6365 0.4127 0.0864
Te32 0.6365 0.7238 0.5501
Te33 0.6738 0.0864 0.9499
Te34 0.6738 0.0873 0.7238
Te35 0.7238 0.5501 0.6365
Te36 0.7238 0.6738 0.0873
Te37 0.7762 0.4127 0.8262
Te38 0.7762 0.8635 0.9499
Te39 0.8262 0.5501 0.4136
Te40 0.8262 0.7762 0.4127
Te41 0.8635 0.4136 0.0873
Te42 0.8635 0.9499 0.7762
Te43 0.9127 0.1365 0.5864
Te44 0.9127 0.2762 0.3262
Te45 0.9136 0.0501 0.3262
Te46 0.9136 0.3635 0.5873
Te47 0.9499 0.6738 0.0864
Te48 0.9499 0.7762 0.8635

## Properties
formation energy from raw total energies: -0.185 eV per atom
M_tot: 0.000 μB per atom

=====

5.
This record from the Alexandria database describes MgSn2Te after structural relaxation. The functional is GGA-PBE.

abc: 8.2673 8.2673 8.2673
angles: 132.08 132.08 70.10
Element x y z (fractional)
Mg1 0.0000 0.0000 0.0000
Mg2 0.7500 0.2500 0.5000
Sn1 0.1088 0.6250 0.9838
Sn2 0.3750 0.3588 0.4838
Sn3 0.6412 0.1250 0.0162
Sn4 0.8750 0.8912 0.5162
Te1 0.2500 0.7500 0.5000
Te2 0.5000 0.5000 0.0000

## Properties
formation energy from raw total energies: 0.096 eV per atom
excess energy over the best structure of this formula in the dataset: 0.07 eV per formula unit
M_tot: 0.000 μB per atom

=====

6.
This record from the Alexandria database describes Mg2SnTe4 after structural relaxation. The functional is GGA-PBE.

abc: 7.1492 7.1492 14.9484
angles: 90.00 90.00 147.22
Element x y z (fractional)
Mg1 0.1304 0.8696 0.5697
Mg2 0.1304 0.8696 0.9303
Mg3 0.8696 0.1304 0.0697
Mg4 0.8696 0.1304 0.4303
Sn1 0.3851 0.6149 0.7500
Sn2 0.6149 0.3851 0.2500
Te1 0.0501 0.9499 0.7500
Te2 0.2149 0.7851 0.1122
Te3 0.2149 0.7851 0.3878
Te4 0.5000 0.5000 0.0000
Te5 0.5000 0.5000 0.5000
Te6 0.7851 0.2149 0.6122
Te7 0.7851 0.2149 0.8878
Te8 0.9499 0.0501 0.2500

## Properties
formation energy from raw total energies: -0.419 eV per atom
M_tot: 0.000 μB per atom

=====

7.
This record from the Alexandria database describes MgSnTe2 after structural relaxation. The functional is GGA-PBE.

abc: 8.3345 8.3345 8.3345
angles: 130.95 130.95 71.89
Element x y z (fractional)
Mg1 0.0000 0.0000 0.0000
Mg2 0.7500 0.2500 0.5000
Sn1 0.2500 0.7500 0.5000
Sn2 0.5000 0.5000 0.0000
Te1 0.0877 0.6250 0.9627
Te2 0.3750 0.3377 0.4627
Te3 0.6623 0.1250 0.0373
Te4 0.8750 0.9123 0.5373

## Properties
formation energy from raw total energies: -0.403 eV per atom
M_tot: 0.000 μB per atom

=====

8.
This record from the Alexandria database describes Mg2SnTe2 after structural relaxation. The functional is GGA-PBE.

abc: 8.4063 8.4063 3.8797
angles: 90.00 90.00 90.00
Element x y z (fractional)
Mg1 0.1427 0.3573 0.0000
Mg2 0.3573 0.8573 0.0000
Mg3 0.6427 0.1427 0.0000
Mg4 0.8573 0.6427 0.0000
Sn1 0.0000 0.0000 0.5000
Sn2 0.5000 0.5000 0.5000
Te1 0.1597 0.6597 0.5000
Te2 0.3403 0.1597 0.5000
Te3 0.6597 0.8403 0.5000
Te4 0.8403 0.3403 0.5000

## Properties
formation energy from raw total energies: -0.314 eV per atom
M_tot: 0.000 μB per atom

=====

9.
This record from the Alexandria database describes MgSnTe3 after structural relaxation. The functional is GGA-PBE.

abc: 5.4592 5.4592 5.4592
angles: 90.00 90.00 90.00
Element x y z (fractional)
Mg1 0.0000 0.0000 0.0000
Sn1 0.5000 0.5000 0.5000
Te1 0.0000 0.0000 0.5000
Te2 0.0000 0.5000 0.0000
Te3 0.5000 0.0000 0.0000

## Properties
formation energy from raw total energies: 0.093 eV per atom
excess energy over the best structure of this formula in the dataset: 0.00 eV per formula unit
M_tot: 0.000 μB per atom

=====

10.
This record from the Alexandria database describes MgSnTe2 after structural relaxation. The functional is GGA-PBE.

abc: 10.4130 10.4130 10.4130
angles: 20.66 20.66 20.66
Element x y z (fractional)
Mg1 0.0000 0.0000 0.0000
Sn1 0.5000 0.5000 0.5000
Te1 0.3967 0.3967 0.3967
Te2 0.6033 0.6033 0.6033

## Properties
formation energy from raw total energies: -0.176 eV per atom
M_tot: 0.000 μB per atom

=====

11.
This record from the Alexandria database describes MgSn3Te4 after structural relaxation. The functional is GGA-PBE.

abc: 4.4769 4.4769 12.5584
angles: 90.00 90.00 90.00
Element x y z (fractional)
Mg1 0.0000 0.0000 0.0000
Sn1 0.0000 0.0000 0.5000
Sn2 0.5000 0.5000 0.2460
Sn3 0.5000 0.5000 0.7540
Te1 0.0000 0.0000 0.2385
Te2 0.0000 0.0000 0.7615
Te3 0.5000 0.5000 0.0000
Te4 0.5000 0.5000 0.5000

## Properties
formation energy from raw total energies: -0.398 eV per atom
M_tot: 0.000 μB per atom

=====

12.
This record from the Alexandria database describes Mg3SnTe4 after structural relaxation. The functional is GGA-PBE.

abc: 7.4700 8.6350 7.4652
angles: 90.00 109.37 90.00
Element x y z (fractional)
Mg1 0.0000 0.1220 0.2500
Mg2 0.0000 0.3717 0.7500
Mg3 0.0000 0.6283 0.2500
Mg4 0.0000 0.8780 0.7500
Mg5 0.5000 0.1229 0.7500
Mg6 0.5000 0.8771 0.2500
Sn1 0.5000 0.3744 0.2500
Sn2 0.5000 0.6256 0.7500
Te1 0.2338 0.3658 0.5009
Te2 0.2338 0.6342 0.0009
Te3 0.2465 0.1173 0.9911
Te4 0.2465 0.8827 0.4911
Te5 0.7535 0.1173 0.5089
Te6 0.7535 0.8827 0.0089
Te7 0.7662 0.3658 0.9991
Te8 0.7662 0.6342 0.4991

## Properties
formation energy from raw total energies: -0.669 eV per atom
excess energy over the best structure of this formula in the dataset: 0.00 eV per formula unit
M_tot: 0.000 μB per atom

=====

13.
This record from the Alexandria database describes MgSn4Te5 after structural relaxation. The functional is GGA-PBE.

abc: 18.4015 18.4015 18.4015
angles: 13.98 13.98 13.98
Element x y z (fractional)
Mg1 0.0000 0.0000 0.0000
Sn1 0.2008 0.2008 0.2008
Sn2 0.3978 0.3978 0.3978
Sn3 0.6022 0.6022 0.6022
Sn4 0.7992 0.7992 0.7992
Te1 0.0984 0.0984 0.0984
Te2 0.3039 0.3039 0.3039
Te3 0.5000 0.5000 0.5000
Te4 0.6961 0.6961 0.6961
Te5 0.9016 0.9016 0.9016

## Properties
formation energy from raw total energies: -0.380 eV per atom
M_tot: 0.000 μB per atom

=====

14.
This record from the Alexandria database describes MgSn5Te6 after structural relaxation. The functional is GGA-PBE.

abc: 7.7618 7.7618 7.7758
angles: 99.60 99.60 119.99
Element x y z (fractional)
Mg1 0.0000 0.0000 0.0000
Sn1 0.1664 0.8336 0.5000
Sn2 0.3323 0.6677 0.0000
Sn3 0.5000 0.5000 0.5000
Sn4 0.6677 0.3323 0.0000
Sn5 0.8336 0.1664 0.5000
Te1 0.0805 0.4004 0.2409
Te2 0.2396 0.2396 0.7562
Te3 0.4004 0.0805 0.2409
Te4 0.5996 0.9195 0.7591
Te5 0.7604 0.7604 0.2438
Te6 0.9195 0.5996 0.7591

## Properties
formation energy from raw total energies: -0.365 eV per atom
M_tot: 0.000 μB per atom

=====

15.
This record from the Alexandria database describes MgSn3Te after structural relaxation. The functional is GGA-PBE.

abc: 5.4340 5.4340 5.4340
angles: 90.00 90.00 90.00
Element x y z (fractional)
Mg1 0.0000 0.0000 0.0000
Sn1 0.0000 0.0000 0.5000
Sn2 0.0000 0.5000 0.0000
Sn3 0.5000 0.0000 0.0000
Te1 0.5000 0.5000 0.5000

## Properties
formation energy from raw total energies: 0.366 eV per atom
excess energy over the best structure of this formula in the dataset: 0.00 eV per formula unit
M_tot: 0.000 μB per atom

=====

16.
This record from the Alexandria database describes MgSnTe2 after structural relaxation. The functional is GGA-PBE.

abc: 8.8794 8.8794 8.8794
angles: 31.58 31.58 31.58
Element x y z (fractional)
Mg1 0.0000 0.0000 0.0000
Sn1 0.5000 0.5000 0.5000
Te1 0.1034 0.1034 0.1034
Te2 0.8966 0.8966 0.8966

## Properties
formation energy from raw total energies: -0.178 eV per atom
M_tot: 0.000 μB per atom

=====

17.
This record from the Alexandria database describes Mg3SnTe after structural relaxation. The functional is GGA-PBE.

abc: 5.3337 5.3337 5.3337
angles: 90.00 90.00 90.00
Element x y z (fractional)
Mg1 0.0000 0.0000 0.5000
Mg2 0.0000 0.5000 0.0000
Mg3 0.5000 0.0000 0.0000
Sn1 0.0000 0.0000 0.0000
Te1 0.5000 0.5000 0.5000

## Properties
formation energy from raw total energies: -0.059 eV per atom
excess energy over the best structure of this formula in the dataset: 0.00 eV per formula unit
M_tot: 0.000 μB per atom

=====

18.
This record from the Alexandria database describes MgSn2Te after structural relaxation. The functional is GGA-PBE.

abc: 5.3804 5.3804 5.3804
angles: 60.00 60.00 60.00
Element x y z (fractional)
Mg1 0.0000 0.0000 0.0000
Sn1 0.2500 0.2500 0.2500
Sn2 0.7500 0.7500 0.7500
Te1 0.5000 0.5000 0.5000

## Properties
formation energy from raw total energies: 0.078 eV per atom
excess energy over the best structure of this formula in the dataset: 0.00 eV per formula unit
M_tot: 0.000 μB per atom

=====

19.
This record from the Alexandria database describes Mg3SnTe4 after structural relaxation. The functional is GGA-PBE.

abc: 8.1679 8.1679 8.1679
angles: 131.57 131.57 70.91
Element x y z (fractional)
Mg1 0.0000 0.0000 0.0000
Mg2 0.2500 0.7500 0.5000
Mg3 0.7500 0.2500 0.5000
Sn1 0.5000 0.5000 0.0000
Te1 0.0969 0.0969 0.4610
Te2 0.3641 0.9031 0.0000
Te3 0.6359 0.6359 0.5390
Te4 0.9031 0.3641 0.0000

## Properties
formation energy from raw total energies: -0.642 eV per atom
excess energy over the best structure of this formula in the dataset: 0.21 eV per formula unit
M_tot: 0.000 μB per atom

=====

20.
This record from the Alexandria database describes MgSnTe2 after structural relaxation. The functional is GGA-PBE.

abc: 7.5975 7.5975 7.5975
angles: 33.63 33.63 33.63
Element x y z (fractional)
Mg1 0.0000 0.0000 0.0000
Sn1 0.5000 0.5000 0.5000
Te1 0.2573 0.2573 0.2573
Te2 0.7427 0.7427 0.7427

## Properties
formation energy from raw total energies: -0.527 eV per atom
M_tot: 0.000 μB per atom